Record 1
Below is a relaxed structure of ZrRePt2, with properties calculated at the PBE level.

Output
Offset from the most stable computed form (eV per formula unit): 0.71
SG: No. 119

Structure (POSCAR):
```
ZrRePt2
1.0
4.9591 0.0017 0.0060
1.6420 4.6794 -0.0060
-3.3034 -2.3366 2.8673
Pt Re Zr
2 1 1
Direct
0.0000 0.0000 0.0000 Pt
0.7500 0.2500 0.5000 Pt
0.5001 0.5001 0.0000 Re
0.2500 0.7500 0.5000 Zr
```

***

Record 2
Below is a relaxed structure of Zr2RePt2, with properties calculated at the PBE level.

Output
SG: No. 127

Structure (POSCAR):
```
Zr2RePt2
1.0
6.9804 0.0000 0.0000
0.0000 6.9804 0.0000
0.0000 0.0000 3.8299
Re Zr Pt
2 4 4
Direct
0.0000 0.0000 0.0000 Re
0.5000 0.5000 0.0000 Re
0.1749 0.6749 0.5000 Zr
0.6749 0.8251 0.5000 Zr
0.8251 0.3251 0.5000 Zr
0.3251 0.1749 0.5000 Zr
0.3674 0.8674 0.0000 Pt
0.8674 0.6326 0.0000 Pt
0.6326 0.1326 0.0000 Pt
0.1326 0.3674 0.0000 Pt
```

***

Record 3
Below is a relaxed structure of ZrRe2Pt2, with properties calculated at the PBE level.

Output
Offset from the most stable computed form (eV per formula unit): 0.00
SG: No. 139

Structure (POSCAR):
```
ZrRe2Pt2
1.0
3.6476 0.0000 0.0000
0.0000 3.6476 0.0000
1.8238 1.8238 6.6449
Re Zr Pt
2 1 2
Direct
0.7500 0.2500 0.5000 Re
0.2500 0.7500 0.5000 Re
0.0000 0.0000 0.0000 Zr
0.4028 0.4028 0.1944 Pt
0.5972 0.5972 0.8056 Pt
```

***

Record 4
Below is a relaxed structure of ZrRePt, with properties calculated at the PBE level.

Output
Offset from the most stable computed form (eV per formula unit): 2.50
SG: No. 216

Structure (POSCAR):
```
ZrRePt
1.0
-4.2296 0.6592 1.1419
-3.1237 -2.8443 -1.3341
-1.9471 -2.6883 2.9343
Pt Re Zr
1 1 1
Direct
0.0000 0.0000 0.0000 Pt
0.5000 0.5000 0.5000 Re
0.7500 0.7500 0.7500 Zr
```

***

Record 5
Below is a relaxed structure of ZrRe2Pt, with properties calculated at the PBE level.

Output
Offset from the most stable computed form (eV per formula unit): 0.55
SG: No. 12

Structure (POSCAR):
```
ZrRe2Pt
1.0
5.0089 -0.0031 -0.0021
4.2157 2.7049 -0.0021
0.7502 0.2197 4.8667
Pt Re Zr
1 2 1
Direct
0.2500 0.2500 0.2500 Pt
0.9897 0.9897 0.0106 Re
0.5103 0.5103 0.4894 Re
0.7500 0.7500 0.7500 Zr
```

***

Record 6
Below is a relaxed structure of ZrRe2Pt, with properties calculated at the PBE level.

Output
Offset from the most stable computed form (eV per formula unit): 0.02
SG: No. 99

Structure (POSCAR):
```
ZrRe2Pt
1.0
2.9918 -0.0034 0.0000
0.0034 2.9918 0.0000
0.0000 0.0000 7.6140
Pt Re Zr
1 2 1
Direct
0.5000 0.5000 0.7630 Pt
0.0000 0.0000 0.0232 Re
0.5000 0.5000 0.2200 Re
0.0000 0.0000 0.4938 Zr
```

***

Number 1: DFT formation energy -0.3668 eV per atom, E -8.636 eV per atom. Number 2: DFT formation energy -0.4859 eV per atom, E -8.811 eV per atom. Number 3: DFT formation energy -0.2168 eV per atom, E -9.322 eV per atom. Number 4: DFT formation energy 0.5759 eV per atom, E -8.436 eV per atom. Number 5: DFT formation energy -0.0955 eV per atom, E -9.967 eV per atom. Number 6: DFT formation energy -0.2277 eV per atom, E -10.099 eV per atom.